Entry 1:
Computed, not measured: crystalline CoNi2GeH at its relaxed geometry at the PBE level of DFT.

Unit cell a=3.5947 b=3.5947 c=3.6595 alpha=90.00 beta=90.00 gamma=90.00
Closest atoms and distances in Å follow each position.
Fractional positions:
1 Co 0.0000 0.0000 0.0000  2 H 1.83
2 Ni 0.0000 0.5000 0.5000  2 H 1.80
3 Ni 0.5000 0.0000 0.5000  2 H 1.80
4 Ge 0.5000 0.5000 0.0000  4 Co 2.54, 8 Ni 2.56
5 H 0.0000 0.0000 0.5000  4 Ni 1.80, 2 Co 1.83

Computed properties:
- Calculated density: 8.778 g/cm3
- E: -27.3 eV/cell

Entry 2:
Computed, not measured: crystalline SrCdB2 at its relaxed geometry at the PBE level of DFT.

Unit cell a=4.6917 b=4.6917 c=4.6917 alpha=60.00 beta=60.00 gamma=60.00
Closest atoms and distances in Å follow each position.
Fractional positions:
1 Sr 0.0000 0.0000 0.0000  4 Cd 2.87, 4 B 2.87
2 Cd 0.2500 0.2500 0.2500  4 B 2.87, 4 Sr 2.87
3 B 0.5000 0.5000 0.5000  4 B 2.87, 4 Cd 2.87
4 B 0.7500 0.7500 0.7500  4 B 2.87, 4 Sr 2.87

Computed properties:
- Calculated density: 5.040 g/cm3
- E: -10.3 eV/cell

Entry 3:
Computed, not measured: crystalline SmSi2AgOs at its relaxed geometry at the PBE level of DFT.

Unit cell a=5.9172 b=5.9172 c=5.9172 alpha=138.94 beta=138.94 gamma=59.47
Closest atoms and distances in Å follow each position.
Fractional positions:
1 Sm 0.0000 0.0000 0.0000  8 Si 3.17, 4 Ag 3.30, 4 Os 3.30
2 Si 0.3827 0.3827 0.0000  1 Si 2.41, 2 Os 2.48, 2 Ag 2.48
3 Si 0.6173 0.6173 0.0000  1 Si 2.41, 2 Ag 2.48, 2 Os 2.48
4 Ag 0.7500 0.2500 0.5000  4 Si 2.48
5 Os 0.2500 0.7500 0.5000  4 Si 2.48

Computed properties:
- Calculated density: 9.466 g/cm3
- E: -31.7 eV/cell

Entry 4:
Computed, not measured: crystalline HoMgCuTe3 at its relaxed geometry at the PBE level of DFT.

Unit cell a=7.2693 b=7.2693 c=11.1864 alpha=90.00 beta=90.00 gamma=147.23
Closest atoms and distances in Å follow each position.
Fractional positions:
1 Ho 0.0000 0.0000 0.0000  6 Te 3.04-3.13
2 Ho 0.0000 0.0000 0.5000  6 Te 3.04-3.13
3 Mg 0.2269 0.7731 0.7500  6 Te 3.04-3.16
4 Mg 0.7731 0.2269 0.2500  6 Te 3.04-3.16
5 Cu 0.4768 0.5232 0.2500  4 Te 2.64-2.68
6 Cu 0.5232 0.4768 0.7500  4 Te 2.64-2.68
7 Te 0.1007 0.8993 0.2500  2 Cu 2.68
8 Te 0.3506 0.6494 0.0747  1 Cu 2.64
9 Te 0.3506 0.6494 0.4253  1 Cu 2.64
10 Te 0.6494 0.3506 0.5747  1 Cu 2.64
11 Te 0.6494 0.3506 0.9253  1 Cu 2.64
12 Te 0.8993 0.1007 0.7500  2 Cu 2.68

Computed properties:
- Calculated density: 6.597 g/cm3
- Excess energy over the best structure of this formula in the dataset: 0.0 meV per atom
- E: -48.0 eV/cell

Entry 5:
Computed, not measured: crystalline ScAgSO at its relaxed geometry at the PBE level of DFT.

Unit cell a=5.1529 b=9.1127 c=5.3431 alpha=90.00 beta=90.00 gamma=90.00
Closest atoms and distances in Å follow each position.
Fractional positions:
1 Sc 0.0000 0.1101 0.2500  4 O 2.10-2.12
2 Sc 0.0000 0.8899 0.7500  4 O 2.10-2.12
3 Sc 0.5000 0.1101 0.7500  4 O 2.10-2.12
4 Sc 0.5000 0.8899 0.2500  4 O 2.10-2.12
5 Ag 0.2500 0.5000 0.1222  2 S 2.51, 2 Ag 2.67
6 Ag 0.2500 0.5000 0.6222  2 S 2.51, 2 Ag 2.67
7 Ag 0.7500 0.5000 0.3778  2 S 2.51, 2 Ag 2.67
8 Ag 0.7500 0.5000 0.8778  2 S 2.51, 2 Ag 2.67
9 S 0.0000 0.2763 0.7500  2 Ag 2.51
10 S 0.0000 0.7237 0.2500  2 Ag 2.51
11 S 0.5000 0.2763 0.2500  2 Ag 2.51
12 S 0.5000 0.7237 0.7500  2 Ag 2.51
13 O 0.2500 0.0000 0.0020  4 Sc 2.10-2.12
14 O 0.2500 0.0000 0.5020  4 Sc 2.10-2.12
15 O 0.7500 0.0000 0.4980  4 Sc 2.10-2.12
16 O 0.7500 0.0000 0.9980  4 Sc 2.10-2.12

Computed properties:
- Calculated density: 5.318 g/cm3
- Excess energy over the best structure of this formula in the dataset: 30.4 meV per atom
- E: -101.4 eV/cell

Entry 6:
Computed, not measured: crystalline CsTbBeS3 at its relaxed geometry at the PBE level of DFT.

Unit cell a=8.0068 b=8.0068 c=10.4959 alpha=90.00 beta=90.00 gamma=151.66
Closest atoms and distances in Å follow each position.
Fractional positions:
1 Cs 0.2386 0.7614 0.7500  6 S 3.54-3.59, 2 Cs 3.92, 2 Be 3.95
2 Cs 0.7614 0.2386 0.2500  6 S 3.54-3.59, 2 Cs 3.92, 2 Be 3.95
3 Tb 0.5000 0.5000 0.0000  6 S 2.72-2.74
4 Tb 0.5000 0.5000 0.5000  6 S 2.72-2.74
5 Be 0.0402 0.9598 0.2500  2 S 2.09
6 Be 0.9598 0.0402 0.7500  2 S 2.09
7 S 0.1102 0.8898 0.0803  1 Be 2.09
8 S 0.1102 0.8898 0.4197  1 Be 2.09
9 S 0.4548 0.5452 0.2500  2 Be 2.37
10 S 0.5452 0.4548 0.7500  2 Be 2.37
11 S 0.8898 0.1102 0.5803  1 Be 2.09
12 S 0.8898 0.1102 0.9197  1 Be 2.09

Computed properties:
- Calculated density: 4.128 g/cm3
- E: -62.0 eV/cell